[1]
Density functional theory data (PBE) for a geometry-optimized ReIr2Os structure.

Unit cell a=2.7498 b=2.7498 c=26.6673 alpha=90.00 beta=90.00 gamma=120.00
Space group R-3m (No. 166, hexagonal axes)
One atom of each set of equivalent atoms:
Re 0.0000 0.0000 0.0000 x3
Ir 0.0000 0.0000 0.2502 x6
Os 0.0000 0.0000 0.5000 x3

Properties
- DOS(E_F): 7.25 states/eV/cell
- VASP energy: -124.30 eV per cell
- Crystal system: trigonal



[2]
Density functional theory data (PBE) for a geometry-optimized NiPtAu2 structure.

Unit cell a=9.3393 b=2.8546 c=4.8496 alpha=90.00 beta=101.86 gamma=90.00
Space group C2/m (No. 12)
One atom of each set of equivalent atoms:
Ni 0.0000 0.0000 0.0000 x2
Pt 0.0000 0.5000 0.5000 x2
Au 0.2433 0.5000 0.2428 x4

Properties
- DOS(E_F): 9.40 states/eV/cell
- Relative energy among the computed polymorphs: 7.5 kJ per mole of atoms
- Crystal system: monoclinic



[3]
Density functional theory data (PBE) for a geometry-optimized BeCr2 structure.

Unit cell a=9.3145 b=2.3358 c=6.0713 alpha=90.00 beta=104.45 gamma=90.00
Space group C2/m (No. 12)
One atom of each set of equivalent atoms:
Be 0.0397 0.0000 0.3173 x4
Cr 0.1232 0.5000 0.0070 x4
Cr 0.1906 0.5000 0.6497 x4

Properties
- DOS(E_F): 10.13 states/eV/cell
- VASP energy: -89.72 eV per cell
- Crystal system: monoclinic



[4]
Density functional theory data (PBE) for a geometry-optimized Mg3CdPd2 structure.

Unit cell a=3.2325 b=3.2325 c=10.2303 alpha=90.00 beta=90.00 gamma=90.00
Space group P4/mmm (No. 123)
One atom of each set of equivalent atoms:
Mg 0.0000 0.0000 0.0000 x1
Mg 0.0000 0.0000 0.3022 x2
Cd 0.5000 0.5000 0.5000 x1
Pd 0.5000 0.5000 0.1551 x2

Properties
- DOS(E_F): 2.77 states/eV/cell
- VASP energy: -19.36 eV per cell
- Crystal system: tetragonal



[5]
Density functional theory data (PBE) for a geometry-optimized CaInRh2 structure.

Unit cell a=3.1729 b=3.1729 c=27.3387 alpha=90.00 beta=90.00 gamma=120.00
Space group R3m (No. 160, hexagonal axes)
One atom of each set of equivalent atoms:
Ca 0.0000 0.0000 0.0000 x3
In 0.0000 0.0000 0.7711 x3
Rh 0.0000 0.0000 0.2538 x3
Rh 0.0000 0.0000 0.5136 x3

Properties
- DOS(E_F): 13.79 states/eV/cell
- VASP energy: -56.48 eV per cell
- Crystal system: trigonal



[6]
Density functional theory data (PBE) for a geometry-optimized Co2HgSe structure.

Unit cell a=6.2884 b=6.2884 c=6.2884 alpha=90.00 beta=90.00 gamma=90.00
Space group Fm-3m (No. 225)
One atom of each set of equivalent atoms:
Co 0.2500 0.2500 0.2500 x8
Hg 0.0000 0.0000 0.0000 x4
Se 0.0000 0.0000 0.5000 x4

Properties
- DOS(E_F): 28.89 states/eV/cell
- Relative energy among the computed polymorphs: 30.5 kJ per mole of atoms
- Crystal system: cubic



[7]
Density functional theory data (PBE) for a geometry-optimized Cs2TlIrCl6 structure.

Unit cell a=10.8477 b=10.8477 c=10.8477 alpha=90.00 beta=90.00 gamma=90.00
Space group Fm-3m (No. 225)
One atom of each set of equivalent atoms:
Cs 0.2500 0.2500 0.2500 x8
Tl 0.0000 0.0000 0.0000 x4
Ir 0.0000 0.0000 0.5000 x4
Cl 0.0000 0.0000 0.2808 x24

Properties
- DOS(E_F): 0.00 states/eV/cell
- VASP energy: -145.07 eV per cell
- Crystal system: cubic



[8]
Density functional theory data (PBE) for a geometry-optimized Sc3SiAg structure.

Unit cell a=5.0635 b=5.0635 c=5.0635 alpha=90.00 beta=90.00 gamma=90.00
Space group Pm-3m (No. 221)
One atom of each set of equivalent atoms:
Sc 0.0000 0.0000 0.5000 x3
Si 0.5000 0.5000 0.5000 x1
Ag 0.0000 0.0000 0.0000 x1

Properties
- DOS(E_F): 7.95 states/eV/cell
- Relative energy among the computed polymorphs: 40.6 kJ per mole of atoms
- Crystal system: cubic